1.
DyYGaTc (PBE-GGA, relaxed); space group = F-43m, No. 216; DOS at the Fermi energy = 3.173 states/eV per cell; formation enthalpy at 0 K = -0.24 eV/atom
1.0
-0.382 1.263 4.778
-2.286 -3.028 3.189
2.629 -2.434 3.425
Y Tc Ga Dy
1 1 1 1
direct
0.750 0.750 0.750
0.500 0.500 0.500
0.000 0.000 0.000
0.250 0.250 0.250

***

2.
GaAgS3 (PBE-GGA, relaxed); space group = Pm-3m, No. 221; distance to the lowest polymorph of the same formula = 0 meV/atom; DOS at the Fermi energy = 4.468 states/eV per cell; ΔE_f (raw) = 0.437 eV per atom
1.0
4.734 0.000 0.000
0.000 4.734 0.000
0.000 0.000 4.734
S Ga Ag
3 1 1
direct
0.000 0.500 0.000
0.000 0.000 0.500
0.500 0.000 0.000
0.000 0.000 0.000
0.500 0.500 0.500